Record 1
Compound: SrMgTl2Ni
Source: Alexandria
Functional: PBE
Structure: optimized geometry

The structure in POSCAR format:
```
SrMgTl2Ni
1.0
5.153 0.000 0.000
0.000 5.153 0.000
0.000 0.000 4.953
Sr Tl Mg Ni
1 2 1 1
direct
0.500 0.500 0.500
0.000 0.500 0.000
0.500 0.000 0.000
0.000 0.000 0.500
0.000 0.000 0.000
```

Output
SG   No. 123
Energy relative to the elements   -116.2 meV per atom

=====

Record 2
Compound: RbHoSn2
Source: Alexandria
Functional: PBE
Structure: optimized geometry

The structure in POSCAR format:
```
RbHoSn2
1.0
4.082 0.000 0.000
0.000 4.082 0.000
0.000 0.000 8.184
Ho Rb Sn
1 1 2
direct
0.500 0.500 0.000
0.500 0.500 0.500
0.000 0.000 0.821
0.000 0.000 0.179
```

Output
SG   No. 123
Energy relative to the elements   -404.1 meV per atom